Crystalline Li6CuAu2 at its relaxed geometry, computed with PBE.

Lattice parameters (Å, degrees): 6.417 6.417 6.174 108.80 108.80 36.26
Fractional positions:
Li1 0.099 0.099 0.161
Li2 0.213 0.213 0.830
Li3 0.354 0.354 0.508
Li4 0.646 0.646 0.492
Li5 0.787 0.787 0.170
Li6 0.901 0.901 0.839
Cu1 0.000 0.000 0.500
Au1 0.436 0.436 0.164
Au2 0.564 0.564 0.836

Computed properties:
The calculation puts the energy relative to the elements at -29.2 kJ per mole of atoms. The relative energy among the computed polymorphs comes out at 0 meV/atom. For the total energy, the calculation gives -0.10150 Ha/atom.

Crystalline DyThSe2 at its relaxed geometry, computed with PBE.

Lattice parameters (Å, degrees): 7.998 7.998 7.998 28.27 28.27 28.27
Fractional positions:
Dy1 0.000 0.000 0.000
Th1 0.172 0.172 0.172
Se1 0.591 0.591 0.591
Se2 0.749 0.749 0.749

Computed properties:
The relative energy among the computed polymorphs comes out at 56 meV/atom. As for the uncorrected formation energy: -6.337 eV/f.u. For the total energy, the calculation gives -0.23270 Ha/atom.

Crystalline Ac3CdSb2Pd9 at its relaxed geometry, computed with PBE.

Lattice parameters (Å, degrees): 6.553 6.553 10.552 90.00 90.00 120.00
Fractional positions:
Ac1 0.000 0.000 0.000
Ac2 0.333 0.667 0.738
Ac3 0.667 0.333 0.262
Cd1 0.000 0.000 0.500
Sb1 0.333 0.667 0.173
Sb2 0.667 0.333 0.827
Pd1 0.000 0.500 0.000
Pd2 0.136 0.272 0.283
Pd3 0.136 0.864 0.283
Pd4 0.272 0.136 0.717
Pd5 0.500 0.000 0.000
Pd6 0.500 0.500 0.000
Pd7 0.728 0.864 0.283
Pd8 0.864 0.136 0.717
Pd9 0.864 0.728 0.717

Computed properties:
As for the uncorrected formation energy: -8.535 eV/f.u. For the total energy, the calculation gives -0.18805 Ha/atom.